Computed, not measured: a geometry-optimized NpZnGa structure at the PBE-GGA level of DFT.

The calculation puts the total magnetic moment at 4.08 μB/f.u. The formation energy from the elements comes out at -99 meV per atom.

CIF file:
```
data_NpZnGa
_chemical_formula_sum 'Np1 Zn1 Ga1'
_symmetry_space_group_name_H-M 'P -6 m 2'
_symmetry_Int_Tables_number 187
_symmetry_space_group_name_Hall 'P -6 2'
_cell_length_a 4.7569
_cell_length_b 4.7569
_cell_length_c 2.8593
_cell_angle_alpha 90.00
_cell_angle_beta 90.00
_cell_angle_gamma 120.00
loop_
_atom_site_label
_atom_site_type_symbol
_atom_site_fract_x
_atom_site_fract_y
_atom_site_fract_z
Np1 Np 0.0000 0.0000 0.0000
Zn1 Zn 0.3333 0.6667 0.5000
Ga1 Ga 0.6667 0.3333 0.5000
```